Entry from Alexandria: a relaxed VBO4 crystal (GGA+U).

Values from the calculation:
Magnetization: 0.00 Bohr magnetons per cell
VASP energy: -7.665 eV/atom
Space group: P-1

```
data_VBO4
_space_group_name_H-M_alt 'P 1'
_space_group_IT_number 1
_cell_length_a 8.1490
_cell_length_b 8.5486
_cell_length_c 8.1633
_cell_angle_alpha 108.31
_cell_angle_beta 91.54
_cell_angle_gamma 118.34
loop_
_space_group_symop_operation_xyz
'x,y,z'
loop_
_atom_site_label
_atom_site_fract_x
_atom_site_fract_y
_atom_site_fract_z
V1 0.8095 0.3993 0.6900
O1 0.5574 0.1909 0.9534
O2 0.8933 0.7997 0.5345
O3 0.8347 0.5480 0.9056
V2 0.4984 0.2628 0.1539
O4 0.2521 0.5150 0.4523
O5 0.1067 0.2003 0.4655
O6 0.0239 0.4225 0.6448
V3 0.1905 0.6007 0.3100
O7 0.9442 0.8450 0.1500
V4 0.0763 0.9577 0.7270
O8 0.0428 0.8371 0.8687
B1 0.5002 0.9342 0.2360
B2 0.8839 0.7463 0.9578
O9 0.7479 0.4850 0.5477
V5 0.5016 0.7372 0.8461
O10 0.4945 0.1095 0.2550
O11 0.7229 0.7616 0.8920
O12 0.9761 0.5775 0.3552
O13 0.5055 0.8905 0.7450
O14 0.1653 0.4520 0.0944
O15 0.9572 0.1629 0.1313
O16 0.3404 0.4932 0.7184
B3 0.4998 0.0658 0.7640
O17 0.2771 0.2384 0.1080
O18 0.6959 0.9866 0.3085
O19 0.6324 0.1696 0.6685
O20 0.0558 0.1550 0.8500
O21 0.3676 0.8304 0.3315
O22 0.3041 0.0134 0.6915
B4 0.1800 0.4053 0.5707
B5 0.1161 0.2537 0.0422
O23 0.4426 0.8091 0.0466
O24 0.6596 0.5068 0.2816
B6 0.8200 0.5947 0.4293
V6 0.9237 0.0423 0.2730
```